# TaMoPb2O6

A relaxed structure of TaMoPb2O6 (GGA+U, Alexandria via LeMat-Bulk).

CIF file:
```
data_TaMoPb2O6
_cell_length_a 5.8717
_cell_length_b 5.7938
_cell_length_c 10.0074
_cell_angle_alpha 90.00
_cell_angle_beta 125.31
_cell_angle_gamma 90.00
_symmetry_space_group_name_H-M 'P 1 21/c 1'
_symmetry_Int_Tables_number 14
_symmetry_space_group_name_Hall '-P 2ybc'
loop_
_atom_site_label
_atom_site_type_symbol
_atom_site_fract_x
_atom_site_fract_y
_atom_site_fract_z
Ta1 Ta 0.0000 0.0000 0.0000
Mo1 Mo 0.5000 0.0000 0.5000
Pb1 Pb 0.2346 0.0008 0.7484
O1 O 0.1967 0.2455 0.9596
O2 O 0.1995 0.7427 0.4596
O3 O 0.3073 0.0005 0.2393
```

Computed properties:
As for the total energy: -7.511 eV/atom. The calculation puts the size of the total moment at 3.000 μB per formula unit. For the mass density, the calculation gives 9.41 g/cm³. The value obtained for the volume is 13.89 Å³ per atom.